# 1
Here is crystalline LiFeAgTeSe2 at its relaxed geometry from OQMD. Energies are from PBE-GGA.

Lattice parameters (Å, degrees): 6.9677 6.9677 10.5810 90.00 90.00 150.81
With the nearest neighbours (Å) after each atom.
Fractional coordinates of all 12 atoms:
Fe: 0.0000 0.0000 0.5000  4 Se 2.48
Fe: 0.0000 0.0000 0.0000  4 Se 2.48
Ag: 0.5763 0.4237 0.2500  2 Se 2.55, 2 Li 2.77
Ag: 0.4237 0.5763 0.7500  2 Se 2.55, 2 Li 2.77
Li: 0.7648 0.2352 0.7500  2 Ag 2.77, 2 Te 2.91
Li: 0.2352 0.7648 0.2500  2 Ag 2.77, 2 Te 2.91
Se: 0.6296 0.3704 0.0189  2 Fe 2.48, 1 Ag 2.55
Se: 0.6296 0.3704 0.4811  2 Fe 2.48, 1 Ag 2.55
Se: 0.3704 0.6296 0.5189  2 Fe 2.48, 1 Ag 2.55
Se: 0.3704 0.6296 0.9811  2 Fe 2.48, 1 Ag 2.55
Te: 0.9070 0.0930 0.2500  2 Ag 2.88, 2 Li 2.91, 2 Fe 2.93
Te: 0.0930 0.9070 0.7500  2 Ag 2.88, 2 Li 2.91, 2 Fe 2.93

Values from the calculation:
Final energy   -4.077 eV per atom
Crystal system   orthorhombic


# 2
Here is crystalline LiInCuIr at its relaxed geometry from OQMD. Energies are from PBE-GGA.

Lattice parameters (Å, degrees): 4.3950 4.3950 4.3950 60.00 60.00 60.00
With the nearest neighbours (Å) after each atom.
Fractional coordinates of all 4 atoms:
Li: 0.5000 0.5000 0.5000  4 Ir 2.69, 4 Cu 2.69
Cu: 0.7500 0.7500 0.7500  4 Li 2.69, 4 In 2.69
In: 0.0000 0.0000 0.0000  4 Cu 2.69, 4 Ir 2.69
Ir: 0.2500 0.2500 0.2500  4 Li 2.69, 4 In 2.69

Values from the calculation:
Final energy   -4.398 eV per atom
Crystal system   cubic
E above lowest polymorph   0 meV/atom


# 3
Here is crystalline SmGaNi at its relaxed geometry from OQMD. Energies are from PBE-GGA.

Lattice parameters (Å, degrees): 7.1859 4.4840 7.0132 90.00 90.00 90.00
With the nearest neighbours (Å) after each atom.
Fractional coordinates of all 12 atoms:
Ni: 0.1687 0.7500 0.4242  4 Ga 2.50-2.57
Ni: 0.6687 0.7500 0.0758  4 Ga 2.50-2.57
Ni: 0.8313 0.2500 0.5758  4 Ga 2.50-2.57
Ni: 0.3313 0.2500 0.9242  4 Ga 2.50-2.57
Ga: 0.3124 0.7500 0.0995  4 Ni 2.50-2.57
Ga: 0.6876 0.2500 0.9005  4 Ni 2.50-2.57
Ga: 0.1876 0.2500 0.5995  4 Ni 2.50-2.57
Ga: 0.8124 0.7500 0.4005  4 Ni 2.50-2.57
Sm: 0.5271 0.2500 0.3096  4 Ni 2.87-3.05, 6 Ga 3.09-3.18
Sm: 0.0271 0.2500 0.1904  4 Ni 2.87-3.05, 6 Ga 3.09-3.18
Sm: 0.4729 0.7500 0.6904  4 Ni 2.87-3.05, 6 Ga 3.09-3.18
Sm: 0.9729 0.7500 0.8096  4 Ni 2.87-3.05, 6 Ga 3.09-3.18

Values from the calculation:
Final energy   -5.031 eV per atom
Crystal system   orthorhombic


# 4
Here is crystalline NaGe5Pd3 at its relaxed geometry from OQMD. Energies are from PBE-GGA.

Lattice parameters (Å, degrees): 5.5055 5.5055 6.8657 90.00 90.00 120.00
With the nearest neighbours (Å) after each atom.
Fractional coordinates of all 9 atoms:
Ge: 0.3333 0.6667 0.1943  3 Pd 2.63, 1 Ge 2.67
Ge: 0.0000 0.0000 0.5000  6 Pd 2.75
Ge: 0.3333 0.6667 0.8057  3 Pd 2.63, 1 Ge 2.67
Ge: 0.6667 0.3333 0.1943  3 Pd 2.63, 1 Ge 2.67
Ge: 0.6667 0.3333 0.8057  3 Pd 2.63, 1 Ge 2.67
Na: 0.0000 0.0000 0.0000  14 Ge 3.43-3.45
Pd: 0.5000 0.5000 0.5000  6 Ge 2.63-2.75, 4 Pd 2.75
Pd: 0.0000 0.5000 0.5000  6 Ge 2.63-2.75, 4 Pd 2.75
Pd: 0.5000 0.0000 0.5000  6 Ge 2.63-2.75, 4 Pd 2.75

Values from the calculation:
Final energy   -4.530 eV per atom
Crystal system   hexagonal